TaMo3 | the Alexandria database | PBE | optimized geometry; uncorrected energy = -11.201 eV per atom; N(E_F) = 0.970 states/eV/atom; magnetization = 0.000 μB/cell; calculated formation energy = -0.115 eV per atom; space group = C2/m (12)
1.0
5.0725 -1.5957 0.0000
5.0725 1.5957 0.0000
-4.0459 0.0000 8.0825
Ta Mo
2 6
Direct
0.1243 0.1243 0.1879
0.8757 0.8757 0.8121
0.1227 0.1227 0.6853
0.3717 0.3717 0.0642
0.3752 0.3752 0.5593
0.6248 0.6248 0.4407
0.6283 0.6283 0.9358
0.8773 0.8773 0.3147